(1)
# PBE-GGA Cs3K5As3, optimized geometry
# - M_tot: 0.00 μB per cell
# - E_form: -0.24 eV/atom
data_Cs3K5As3
_chemical_formula_sum 'Cs3 K5 As3'
_space_group_name_H-M_alt 'P -6 2 m'
_space_group_IT_number 189
_space_group_name_Hall 'P -6 -2'
_cell_length_a 10.4241
_cell_length_b 10.4241
_cell_length_c 6.9201
_cell_angle_alpha 90.00
_cell_angle_beta 90.00
_cell_angle_gamma 120.00
loop_
_atom_site_label
_atom_site_type_symbol
_atom_site_fract_x
_atom_site_fract_y
_atom_site_fract_z
Cs1 Cs 0.0000 0.3562 0.0000
K1 K 0.0000 0.7267 0.5000
K2 K 0.3333 0.6667 0.5000
As1 As 0.0000 0.3636 0.5000

***

(2)
# PBE-GGA RbNiSe2Br, optimized geometry
# - Distance to the lowest polymorph of the same formula: 1578 meV/atom
# - M_tot: 4.00 μB per cell
data_RbNiSe2Br
_chemical_formula_sum 'Rb1 Ni1 Se2 Br1'
_space_group_name_H-M_alt 'P 4/m m m'
_space_group_IT_number 123
_space_group_name_Hall '-P 4 2'
_cell_length_a 6.228
_cell_length_b 6.228
_cell_length_c 6.180
_cell_angle_alpha 90.00
_cell_angle_beta 90.00
_cell_angle_gamma 90.00
loop_
_atom_site_label
_atom_site_type_symbol
_atom_site_fract_x
_atom_site_fract_y
_atom_site_fract_z
Rb1 Rb 0.000 0.000 0.000
Ni1 Ni 0.500 0.500 0.500
Se1 Se 0.000 0.500 0.000
Br1 Br 0.000 0.000 0.500